Entry 1:
The following is a PBE calculation of ZnHgPd3 after structural relaxation, from the Alexandria database.

Geometry as POSCAR:
```
ZnHgPd3
1.0
4.647 0.000 0.000
0.000 4.647 0.000
0.000 0.000 4.647
Zn Hg Pd
1 1 3
Cartesian
0.000 0.000 0.000
2.324 2.324 2.324
0.000 0.000 2.324
0.000 2.324 0.000
2.324 0.000 0.000
```

Calculated values
Distance to the lowest polymorph of the same formula   514 meV/atom
SG   Pm-3m


Entry 2:
The following is a PBE calculation of ZnHgPd after structural relaxation, from the Alexandria database.

Geometry as POSCAR:
```
ZnHgPd
1.0
2.232 1.289 6.959
-2.232 1.289 6.959
0.000 -2.577 6.959
Zn Hg Pd
2 2 2
Cartesian
0.000 0.000 2.387
0.000 0.000 18.489
0.000 0.000 7.852
0.000 0.000 13.024
0.000 0.000 4.914
0.000 0.000 15.962
```

Calculated values
Distance to the lowest polymorph of the same formula   74 meV/atom
SG   R-3m


Entry 3:
The following is a PBE calculation of ZnHg3Pd12 after structural relaxation, from the Alexandria database.

Geometry as POSCAR:
```
ZnHg3Pd12
1.0
4.020 0.000 0.000
0.000 4.020 0.000
0.000 0.000 16.050
Zn Hg Pd
1 3 12
Cartesian
0.000 0.000 0.000
0.000 0.000 3.924
0.000 0.000 8.025
0.000 0.000 12.127
0.000 2.010 1.861
0.000 2.010 5.973
0.000 2.010 10.078
0.000 2.010 14.189
2.010 0.000 1.861
2.010 0.000 5.973
2.010 0.000 10.078
2.010 0.000 14.189
2.010 2.010 0.000
2.010 2.010 3.915
2.010 2.010 8.025
2.010 2.010 12.136
```

Calculated values
SG   P4/mmm


no.,ΔH_f (0 K) (meV per atom)
1,270
2,-123
3,-146